This record from the Alexandria database describes a relaxed structure of YbFeGe. The functional is GGA-PBE.

Computed properties:
The formation energy is -88.2 kJ/mol of formula units. The value obtained for the volume is 19.692 Å³ per atom. Its total magnetic moment is 0.710 μB per atom.

a = 5.6937 Å, b = 5.6937 Å, c = 7.0936 Å
α = 55.69°, β = 55.69°, γ = 39.95°
With the nearest neighbours (Å) after each atom.
Atoms (fractional coordinates):
1 Ge 0.1543 0.1543 0.8182  3 Fe 2.41-2.44
2 Yb 0.4407 0.4407 0.7893  5 Ge 2.95-3.10, 3 Fe 3.01-3.17
3 Fe 0.2170 0.2170 0.4253  3 Ge 2.41-2.44, 2 Fe 2.51
4 Fe 0.7830 0.7830 0.5747  3 Ge 2.41-2.44, 2 Fe 2.51
5 Yb 0.5593 0.5593 0.2107  5 Ge 2.95-3.10, 3 Fe 3.01-3.17
6 Ge 0.8457 0.8457 0.1818  3 Fe 2.41-2.44

---

This record from the Alexandria database describes a relaxed structure of HRuS2N. The functional is GGA-PBE.

Computed properties:
The calculation puts the energy above the lowest structure with this stoichiometry at 471.0 meV/atom. The value obtained for the volume is 10.569 Å³ per atom. Its total magnetic moment is 0.112 μB per atom.

a = 3.5576 Å, b = 3.5576 Å, c = 4.1752 Å
α = 90.00°, β = 90.00°, γ = 90.00°
With the nearest neighbours (Å) after each atom.
Atoms (fractional coordinates):
1 S 0.0000 0.5000 0.0000  2 H 1.78
2 S 0.5000 0.0000 0.0000  2 H 1.78
3 H 0.0000 0.0000 0.0000  4 S 1.78
4 Ru 0.5000 0.5000 0.5000  4 N 2.52, 8 S 2.74
5 N 0.0000 0.0000 0.5000  2 H 2.09

---

This record from the Alexandria database describes a relaxed structure of Ba3Y5. The functional is GGA-PBE.

Computed properties:
The formation energy is 309.8 kJ/mol of formula units. The value obtained for the volume is 38.959 Å³ per atom. Its total magnetic moment is 0.000 μB per atom.

a = 10.3627 Å, b = 10.3627 Å, c = 6.7026 Å
α = 90.00°, β = 90.00°, γ = 120.00°
With the nearest neighbours (Å) after each atom.
Atoms (fractional coordinates):
1 Y 0.3333 0.6667 0.0000  2 Y 3.35, 6 Ba 3.60
2 Y 0.2128 0.2128 0.7500  4 Ba 3.55-3.85, 2 Y 3.82
3 Ba 0.0000 0.6046 0.2500  8 Y 3.55-3.85
4 Y 0.3333 0.6667 0.5000  2 Y 3.35, 6 Ba 3.60
5 Y 0.0000 0.2128 0.2500  4 Ba 3.55-3.85, 2 Y 3.82
6 Y 0.2128 0.0000 0.2500  4 Ba 3.55-3.85, 2 Y 3.82
7 Y 0.7872 0.0000 0.7500  4 Ba 3.55-3.85, 2 Y 3.82
8 Y 0.0000 0.7872 0.7500  4 Ba 3.55-3.85, 2 Y 3.82
9 Ba 0.6046 0.6046 0.7500  8 Y 3.55-3.85
10 Ba 0.3954 0.0000 0.7500  8 Y 3.55-3.85
11 Y 0.6667 0.3333 0.0000  2 Y 3.35, 6 Ba 3.60
12 Ba 0.6046 0.0000 0.2500  8 Y 3.55-3.85
13 Ba 0.0000 0.3954 0.7500  8 Y 3.55-3.85
14 Ba 0.3954 0.3954 0.2500  8 Y 3.55-3.85
15 Y 0.6667 0.3333 0.5000  2 Y 3.35, 6 Ba 3.60
16 Y 0.7872 0.7872 0.2500  4 Ba 3.55-3.85, 2 Y 3.82

---

This record from the Alexandria database describes a relaxed structure of Fe6Pd5Pt. The functional is GGA-PBE.

Computed properties:
The formation energy is -104.5 kJ/mol of formula units. The value obtained for the volume is 13.911 Å³ per atom. Its total magnetic moment is 1.670 μB per atom.

a = 3.8559 Å, b = 7.5292 Å, c = 7.1366 Å
α = 121.84°, β = 105.62°, γ = 90.00°
With the nearest neighbours (Å) after each atom.
Atoms (fractional coordinates):
1 Fe 0.8337 0.0832 0.6678  1 Pt 2.68, 7 Pd 2.68-2.70, 4 Fe 2.71-2.73
2 Fe 0.5000 0.2486 0.0000  2 Pt 2.69, 6 Pd 2.69-2.70, 4 Fe 2.71-2.72
3 Fe 0.8337 0.5846 0.6678  1 Pt 2.68, 7 Pd 2.68-2.70, 4 Fe 2.71-2.73
4 Pd 0.6660 0.6659 0.3319  8 Fe 2.69-2.70, 4 Pd 2.71
5 Pd 0.3340 0.3341 0.6681  8 Fe 2.69-2.70, 4 Pd 2.71
6 Fe 0.1663 0.4154 0.3322  1 Pt 2.68, 7 Pd 2.68-2.70, 4 Fe 2.71-2.73
7 Pd 0.0000 0.5000 0.0000  8 Fe 2.69-2.70, 4 Pd 2.71
8 Pt 0.0000 0.0000 0.0000  8 Fe 2.68-2.69, 4 Pd 2.73
9 Pd 0.6684 0.1683 0.3366  8 Fe 2.68-2.69, 2 Pd 2.71, 2 Pt 2.73
10 Fe 0.5000 0.7514 0.0000  2 Pt 2.69, 6 Pd 2.69-2.70, 4 Fe 2.71-2.72
11 Fe 0.1663 0.9168 0.3322  1 Pt 2.68, 7 Pd 2.68-2.70, 4 Fe 2.71-2.73
12 Pd 0.3316 0.8317 0.6634  8 Fe 2.68-2.69, 2 Pd 2.71, 2 Pt 2.73

---

This record from the Alexandria database describes a relaxed structure of Ho2AsS2. The functional is GGA-PBE.

Computed properties:
The formation energy from raw total energies is -7.09 eV/f.u. The value obtained for the volume is 25.795 Å³ per atom. Its total magnetic moment is 0.000 μB per atom.

a = 6.8927 Å, b = 6.8927 Å, c = 6.4240 Å
α = 111.44°, β = 111.44°, γ = 93.25°
With the nearest neighbours (Å) after each atom.
Atoms (fractional coordinates):
1 S 0.5712 0.7798 0.0352  4 Ho 2.64-2.83
2 Ho 0.4025 0.5975 0.2500  4 S 2.64-2.67, 1 As 2.81
3 As 0.8778 0.1222 0.7500  2 Ho 2.81-2.92
4 Ho 0.8305 0.1695 0.2500  4 S 2.69-2.83, 1 As 2.92
5 S 0.2202 0.4288 0.4648  4 Ho 2.64-2.83
6 As 0.1222 0.8778 0.2500  2 Ho 2.81-2.92
7 S 0.7798 0.5712 0.5352  4 Ho 2.64-2.83
8 S 0.4288 0.2202 0.9648  4 Ho 2.64-2.83
9 Ho 0.1695 0.8305 0.7500  4 S 2.69-2.83, 1 As 2.92
10 Ho 0.5975 0.4025 0.7500  4 S 2.64-2.67, 1 As 2.81

---

This record from the Alexandria database describes a relaxed structure of PrPu2Sn2Au2. The functional is GGA-PBE.

Computed properties:
The formation energy is -325.3 kJ/mol of formula units. The value obtained for the volume is 25.210 Å³ per atom. Its total magnetic moment is 1.586 μB per atom.

a = 4.7689 Å, b = 4.7689 Å, c = 9.3737 Å
α = 75.26°, β = 75.26°, γ = 60.00°
With the nearest neighbours (Å) after each atom.
Atoms (fractional coordinates):
1 Pr 0.0000 0.0000 0.0000  6 Sn 3.31
2 Sn 0.2652 0.2652 0.2045  3 Au 2.87
3 Pu 0.8570 0.8570 0.4290  3 Au 3.00, 3 Pu 3.03, 1 Sn 3.28
4 Pu 0.1430 0.1430 0.5710  3 Au 3.00, 3 Pu 3.03, 1 Sn 3.28
5 Au 0.4322 0.4322 0.7035  3 Sn 2.87, 3 Pu 3.00
6 Au 0.5678 0.5678 0.2965  3 Sn 2.87, 3 Pu 3.00
7 Sn 0.7348 0.7348 0.7955  3 Au 2.87

---

This record from the Alexandria database describes a relaxed structure of KCrSi2. The functional is GGA-PBE.

Computed properties:
The formation energy from raw total energies is 1.06 eV/f.u. The calculation puts the energy above the lowest structure with this stoichiometry at 110.2 meV/atom. The value obtained for the volume is 20.526 Å³ per atom. Its total magnetic moment is 0.000 μB per atom.

a = 3.9847 Å, b = 2.6836 Å, c = 7.6783 Å
α = 89.89°, β = 90.00°, γ = 90.00°
With the nearest neighbours (Å) after each atom.
Atoms (fractional coordinates):
1 Si 0.5000 0.1237 0.3461  4 Cr 2.40, 2 Si 2.68
2 Cr 0.0000 0.6234 0.3326  6 Si 2.40-2.42, 2 Cr 2.68
3 Si 0.0000 0.1253 0.0702  2 Cr 2.42, 2 Si 2.68
4 K 0.5000 0.6276 0.7511  2 K 2.68

---

This record from the Alexandria database describes a relaxed structure of PaOsW. The functional is GGA-PBE.

Computed properties:
The formation energy is 39.9 kJ/mol of formula units. The value obtained for the volume is 19.834 Å³ per atom. Its total magnetic moment is 0.000 μB per atom.

a = 3.2059 Å, b = 5.9551 Å, c = 6.4723 Å
α = 90.00°, β = 90.00°, γ = 105.62°
With the nearest neighbours (Å) after each atom.
Atoms (fractional coordinates):
1 Pa 0.3188 0.6376 0.7500  2 Os 2.81, 4 W 3.08
2 Os 0.6171 0.2342 0.7500  4 W 2.64, 2 Pa 2.81
3 Pa 0.6812 0.3624 0.2500  2 Os 2.81, 4 W 3.08
4 W 0.0000 0.0000 0.5000  4 Os 2.64
5 Os 0.3829 0.7658 0.2500  4 W 2.64, 2 Pa 2.81
6 W 0.0000 0.0000 0.0000  4 Os 2.64